# 1
Computed, not measured: MnNi2Ir at its PBEsol-relaxed geometry at the SCAN level of DFT.

Lattice parameters (Å, degrees): 4.3787 4.3787 2.6256 90.00 90.00 108.93
Last column: nearest neighbours and their distance in Å.
Fractional positions:
Mn  0.0000  0.0000  0.0000  2 Ir 2.54, 8 Ni 2.55, 2 Mn 2.63
Ni  0.0000  0.5000  0.5000  4 Ni 2.54-2.63, 4 Mn 2.55, 4 Ir 2.55
Ni  0.5000  0.0000  0.5000  4 Ni 2.54-2.63, 4 Mn 2.55, 4 Ir 2.55
Ir  0.5000  0.5000  0.0000  2 Mn 2.54, 8 Ni 2.55, 2 Ir 2.63

Results
Uncorrected energy   -122.57 eV for the cell shown
Energy of formation   -0.87 eV per formula unit
Total moment   5.109 μB/f.u.

---

# 2
Computed, not measured: MnNi2Ir at its PBEsol-relaxed geometry at the SCAN level of DFT.

Lattice parameters (Å, degrees): 4.3978 4.3978 4.3805 100.35 100.35 34.36
Last column: nearest neighbours and their distance in Å.
Fractional positions:
Mn  0.0000  0.0000  0.0000  6 Ni 2.53-2.54, 4 Ir 2.55, 2 Mn 2.60
Ni  0.2497  0.2497  0.7530  6 Ni 2.52-2.60, 3 Mn 2.53-2.54, 3 Ir 2.54-2.56
Ni  0.7503  0.7503  0.2470  6 Ni 2.52-2.60, 3 Mn 2.53-2.54, 3 Ir 2.54-2.56
Ir  0.5000  0.5000  0.5000  6 Ni 2.54-2.56, 4 Mn 2.55, 2 Ir 2.60

Results
Uncorrected energy   -122.34 eV for the cell shown
Energy of formation   -0.64 eV per formula unit
Total moment   5.065 μB/f.u.

---

# 3
Computed, not measured: MnNiIr2Os at its PBEsol-relaxed geometry at the SCAN level of DFT.

Lattice parameters (Å, degrees): 4.6737 4.6737 4.4305 90.00 90.00 90.00
Last column: nearest neighbours and their distance in Å.
Fractional positions:
Mn  0.0000  0.0000  0.0000  8 Ir 3.22, 4 Ni 3.30
Ni  0.5000  0.5000  0.0000  2 Os 2.22
Ir  0.0000  0.5000  0.5000  2 Os 2.34
Ir  0.5000  0.0000  0.5000  2 Os 2.34
Os  0.5000  0.5000  0.5000  2 Ni 2.22, 4 Ir 2.34

Results
Uncorrected energy   -241.42 eV for the cell shown
Energy of formation   7.08 eV per formula unit
Total moment   5.690 μB/f.u.